No. 1
Density functional theory data (PBE) for a geometry-optimized Nd6HgRh3 structure.

Values from the calculation:
The space group is No. 11. The calculation puts the magnetic moment at 0.00 μB/cell. The density comes out at 7817 kg/m³. For the calculated formation energy, the calculation gives -0.5236 eV per atom. The calculation puts the distance to the lowest polymorph of the same formula at 0 meV/atom. Its total energy is -56.2 eV per formula unit.

Cell: 4.1878 12.1206 12.1421 Å, 108.62 90.00 90.00°
Fractional positions:
Nd 0.7500 0.4687 0.6074
Nd 0.2500 0.5313 0.3926
Nd 0.7500 0.9335 0.0964
Nd 0.2500 0.0665 0.9036
Nd 0.7500 0.3891 0.0499
Nd 0.2500 0.6109 0.9501
Nd 0.7500 0.7102 0.2627
Nd 0.2500 0.2898 0.7373
Nd 0.7500 0.1420 0.4624
Nd 0.2500 0.8580 0.5376
Nd 0.7500 0.7832 0.7664
Nd 0.2500 0.2168 0.2336
Hg 0.7500 0.0550 0.6948
Hg 0.2500 0.9450 0.3052
Rh 0.7500 0.4533 0.8360
Rh 0.2500 0.5467 0.1640
Rh 0.7500 0.6863 0.5043
Rh 0.2500 0.3137 0.4957
Rh 0.7500 0.1574 0.0712
Rh 0.2500 0.8426 0.9288

No. 2
Density functional theory data (PBE) for a geometry-optimized Nd2Hg3Rh2 structure.

Values from the calculation:
The space group is No. 65. The calculation puts the magnetic moment at 0.00 μB/cell. The density comes out at 10887 kg/m³. For the calculated formation energy, the calculation gives -0.4647 eV per atom. The calculation puts the distance to the lowest polymorph of the same formula at 0 meV/atom. Its total energy is -28.4 eV per formula unit.

Cell: 3.9241 4.1025 10.5852 Å, 101.17 90.00 90.00°
Fractional positions:
Nd 0.0000 0.8292 0.6584
Nd 0.0000 0.1708 0.3416
Hg 0.5000 0.5727 0.1455
Hg 0.5000 0.4273 0.8545
Hg 0.0000 0.0000 0.0000
Rh 0.5000 0.7059 0.4118
Rh 0.5000 0.2941 0.5882

No. 3
Density functional theory data (PBE) for a geometry-optimized Nd2HgRh structure.

Values from the calculation:
The space group is No. 123. The calculation puts the magnetic moment at 0.00 μB/cell. The density comes out at 9726 kg/m³. For the calculated formation energy, the calculation gives -0.5675 eV per atom. The calculation puts the distance to the lowest polymorph of the same formula at 0 meV/atom. Its total energy is -19.5 eV per formula unit.

Cell: 3.6177 3.6177 7.7228 Å, 90.00 90.00 90.00°
Fractional positions:
Rh 0.5000 0.5000 0.0000
Nd 0.0000 0.0000 0.7790
Nd 0.0000 0.0000 0.2210
Hg 0.5000 0.5000 0.5000

No. 4
Density functional theory data (PBE) for a geometry-optimized Nd3HgRh structure.

Values from the calculation:
The space group is No. 62. The calculation puts the magnetic moment at 0.00 μB/cell. The density comes out at 8621 kg/m³. For the calculated formation energy, the calculation gives -0.4913 eV per atom. The calculation puts the distance to the lowest polymorph of the same formula at 0 meV/atom. Its total energy is -24.4 eV per formula unit.

Cell: 4.9930 7.4624 15.2241 Å, 90.00 90.00 90.00°
Fractional positions:
Nd 0.2500 0.3667 0.5440
Nd 0.7500 0.8137 0.2216
Nd 0.7500 0.4907 0.8975
Nd 0.7500 0.9907 0.6025
Nd 0.7500 0.6333 0.4560
Nd 0.2500 0.0093 0.3975
Nd 0.2500 0.8667 0.9560
Nd 0.7500 0.3137 0.2784
Nd 0.2500 0.6863 0.7216
Nd 0.2500 0.1863 0.7784
Nd 0.7500 0.1333 0.0440
Nd 0.2500 0.5093 0.1025
Hg 0.7500 0.9062 0.8180
Hg 0.2500 0.0938 0.1820
Hg 0.7500 0.4062 0.6820
Hg 0.2500 0.5938 0.3180
Rh 0.2500 0.2763 0.9554
Rh 0.2500 0.7763 0.5446
Rh 0.7500 0.2237 0.4554
Rh 0.7500 0.7237 0.0446

No. 5
Density functional theory data (PBE) for a geometry-optimized Nd2HgRh structure.

Values from the calculation:
The space group is No. 166. The calculation puts the magnetic moment at 0.00 μB/cell. The density comes out at 8623 kg/m³. For the calculated formation energy, the calculation gives -0.5483 eV per atom. The calculation puts the distance to the lowest polymorph of the same formula at 19 meV/atom. Its total energy is -19.4 eV per formula unit.

Cell: 4.0671 4.0671 8.2968 Å, 75.81 75.81 60.00°
Fractional positions:
Rh 0.0000 0.0000 0.0000
Nd 0.2653 0.2653 0.2040
Nd 0.7347 0.7347 0.7960
Hg 0.5000 0.5000 0.5000

No. 6
Density functional theory data (PBE) for a geometry-optimized Nd4Hg2Rh structure.

Values from the calculation:
The space group is No. 12. The calculation puts the magnetic moment at 0.00 μB/cell. The density comes out at 8837 kg/m³. For the calculated formation energy, the calculation gives -0.4562 eV per atom. The calculation puts the distance to the lowest polymorph of the same formula at 0 meV/atom. Its total energy is -30.2 eV per formula unit.

Cell: 4.7377 6.0731 8.1368 Å, 74.58 73.07 67.04°
Fractional positions:
Nd 0.0755 0.2023 0.6468
Nd 0.9245 0.7977 0.3532
Nd 0.3267 0.2778 0.0688
Nd 0.6733 0.7222 0.9312
Hg 0.3592 0.6136 0.6680
Hg 0.6408 0.3864 0.3320
Rh 0.0000 0.0000 0.0000

No. 7
Density functional theory data (PBE) for a geometry-optimized Nd3Hg3Rh2 structure.

Values from the calculation:
The space group is No. 12. The calculation puts the magnetic moment at 0.00 μB/cell. The density comes out at 10345 kg/m³. For the calculated formation energy, the calculation gives -0.4926 eV per atom. The calculation puts the distance to the lowest polymorph of the same formula at 36 meV/atom. Its total energy is -33.9 eV per formula unit.

Cell: 4.3928 5.2500 9.0476 Å, 100.08 104.05 90.00°
Fractional positions:
Nd 0.1666 0.5967 0.3332
Nd 0.8334 0.4033 0.6668
Nd 0.0000 0.0000 0.0000
Hg 0.6313 0.0911 0.2626
Hg 0.5000 0.5000 0.0000
Hg 0.3687 0.9089 0.7374
Rh 0.2310 0.1405 0.4619
Rh 0.7690 0.8595 0.5381

No. 8
Density functional theory data (PBE) for a geometry-optimized Nd2Hg3Rh structure.

Values from the calculation:
The space group is No. 25. The calculation puts the magnetic moment at 0.00 μB/cell. The density comes out at 10969 kg/m³. For the calculated formation energy, the calculation gives -0.4564 eV per atom. Its total energy is -20.5 eV per formula unit.

Cell: 3.6135 4.9605 8.3878 Å, 90.00 90.00 90.00°
Fractional positions:
Nd 0.0000 0.5000 0.0493
Nd 0.0000 0.0000 0.4762
Hg 0.5000 0.0000 0.8286
Hg 0.5000 0.0000 0.1691
Hg 0.5000 0.5000 0.6547
Rh 0.5000 0.5000 0.3221